(1)
Dy3Pt (GGA-PBE, optimized geometry); calculated volume = 119 Å³/f.u.; ΔH_f (0 K) = -0.411 eV per atom; space group = Pmm2
1.0
-2.706 -2.411 -0.428
1.488 -1.123 -3.079
4.796 -6.195 4.577
Dy Pt
3 1
Direct
0.500 0.500 0.126 Dy
0.000 0.500 0.470 Dy
0.500 0.000 0.748 Dy
0.000 0.000 0.989 Pt

---

(2)
In3Ag6Hg (GGA-PBE, optimized geometry); calculated volume = 210 Å³/f.u.; ΔH_f (0 K) = 0.025 eV per atom; excess energy over the best structure of this formula in the dataset = 0 meV/atom; space group = P2_1/c
1.0
4.729 -0.004 0.000
0.008 8.830 0.000
0.000 0.000 10.035
Hg Ag In
2 12 6
Direct
0.000 0.000 0.000 Hg
0.500 0.500 0.500 Hg
0.498 0.752 0.679 Ag
0.502 0.556 0.185 Ag
0.502 0.936 0.197 Ag
0.002 0.056 0.315 Ag
0.998 0.944 0.685 Ag
0.002 0.748 0.179 Ag
0.502 0.248 0.321 Ag
0.498 0.064 0.803 Ag
0.998 0.564 0.697 Ag
0.002 0.436 0.303 Ag
0.998 0.252 0.821 Ag
0.498 0.444 0.815 Ag
0.500 0.000 0.500 In
0.000 0.500 0.000 In
0.500 0.759 0.954 In
0.000 0.259 0.546 In
0.500 0.241 0.046 In
0.000 0.741 0.454 In

---

(3)
IrPdW2 (GGA-PBE, optimized geometry); calculated volume = 68 Å³/f.u.; ΔH_f (0 K) = 0.616 eV per atom; excess energy over the best structure of this formula in the dataset = 194 meV/atom; space group = I-42d
1.0
-3.155 1.172 -1.868
0.617 -2.662 -2.711
-6.284 -6.718 2.433
W Pd Ir
4 2 2
Direct
0.875 0.884 0.750 W
0.634 0.125 0.250 W
0.375 0.366 0.750 W
0.116 0.625 0.250 W
0.500 0.500 0.000 Pd
0.250 0.750 0.500 Pd
0.000 0.000 0.000 Ir
0.750 0.250 0.500 Ir

---

(4)
CaY2Ti2 (GGA-PBE, optimized geometry); calculated volume = 136 Å³/f.u.; ΔH_f (0 K) = 0.272 eV per atom; excess energy over the best structure of this formula in the dataset = 0 meV/atom; space group = P4/mbm
1.0
-1.599 8.539 -1.948
-7.038 -2.431 -4.881
-2.007 0.255 2.767
Ti Ca Y
4 2 4
Direct
0.606 0.106 0.000 Ti
0.394 0.894 0.000 Ti
0.106 0.394 0.000 Ti
0.894 0.606 0.000 Ti
0.500 0.500 0.000 Ca
0.000 0.000 0.000 Ca
0.819 0.319 0.500 Y
0.681 0.819 0.500 Y
0.181 0.681 0.500 Y
0.319 0.181 0.500 Y

---

(5)
Pm5Pr12Tm2 (GGA-PBE, optimized geometry); calculated volume = 678 Å³/f.u.; ΔH_f (0 K) = 0.119 eV per atom; excess energy over the best structure of this formula in the dataset = 0 meV/atom; space group = C2/m
1.0
8.111 -0.175 0.704
0.367 8.644 3.747
-0.323 -0.520 9.408
Pm Pr Tm
5 12 2
Direct
0.910 0.657 0.657 Pm
0.519 0.241 0.241 Pm
0.500 0.000 0.000 Pm
0.090 0.343 0.343 Pm
0.481 0.759 0.759 Pm
0.793 0.041 0.590 Pr
0.711 0.447 0.447 Pr
0.900 0.127 0.127 Pr
0.207 0.959 0.410 Pr
0.614 0.381 0.832 Pr
0.614 0.832 0.381 Pr
0.386 0.619 0.168 Pr
0.207 0.410 0.959 Pr
0.793 0.590 0.041 Pr
0.100 0.873 0.873 Pr
0.386 0.168 0.619 Pr
0.289 0.553 0.553 Pr
0.000 0.271 0.729 Tm
0.000 0.729 0.271 Tm

---

(6)
Nd3Mg7In2 (GGA-PBE, optimized geometry); calculated volume = 317 Å³/f.u.; ΔH_f (0 K) = -0.160 eV per atom; space group = R-3m
1.0
6.127 0.000 0.000
3.063 5.306 0.000
3.063 1.769 9.750
Mg Nd In
7 3 2
Direct
0.415 0.415 0.248 Mg
0.500 0.500 0.500 Mg
0.585 0.585 0.752 Mg
0.415 0.922 0.248 Mg
0.078 0.585 0.752 Mg
0.585 0.078 0.752 Mg
0.922 0.415 0.248 Mg
0.000 0.000 0.000 Nd
0.144 0.144 0.567 Nd
0.856 0.856 0.433 Nd
0.334 0.334 0.997 In
0.666 0.666 0.003 In